A plane-wave DFT calculation with PBE with a Hubbard U was carried out for a relaxed structure of Na3WO4F.

Summary:
Its size of the total moment is 0.00 μB/f.u. As for the total energy: -5.82 eV per atom.

a b c (Å): 5.727 7.654 13.053
angles (deg): 90.00 90.00 90.00
Fractional coordinates of all 36 atoms:
1 Na 0.219 0.043 0.181
2 Na 0.219 0.457 0.181
3 Na 0.228 0.750 0.894
4 Na 0.272 0.250 0.394
5 Na 0.281 0.543 0.681
6 Na 0.281 0.957 0.681
7 Na 0.719 0.043 0.319
8 Na 0.719 0.457 0.319
9 Na 0.728 0.750 0.606
10 Na 0.772 0.250 0.106
11 Na 0.781 0.543 0.819
12 Na 0.781 0.957 0.819
13 W 0.215 0.750 0.416
14 W 0.285 0.250 0.916
15 W 0.715 0.750 0.084
16 W 0.785 0.250 0.584
17 O 0.103 0.250 0.577
18 O 0.167 0.250 0.045
19 O 0.185 0.056 0.848
20 O 0.185 0.444 0.848
21 O 0.315 0.556 0.348
22 O 0.315 0.944 0.348
23 O 0.333 0.750 0.545
24 O 0.397 0.750 0.077
25 O 0.603 0.250 0.923
26 O 0.667 0.250 0.455
27 O 0.685 0.056 0.652
28 O 0.685 0.444 0.652
29 O 0.815 0.556 0.152
30 O 0.815 0.944 0.152
31 O 0.833 0.750 0.955
32 O 0.897 0.750 0.423
33 F 0.007 0.750 0.729
34 F 0.493 0.250 0.229
35 F 0.507 0.750 0.771
36 F 0.993 0.250 0.271